# ScNi2P | Alexandria | GGA-PBE | optimized geometry
data_ScNi2P
_chemical_formula_sum 'Sc4 Ni8 P4'
_cell_length_a 5.895
_cell_length_b 5.895
_cell_length_c 5.895
_cell_angle_alpha 90.00
_cell_angle_beta 90.00
_cell_angle_gamma 90.00
_space_group_name_H-M_alt 'F m -3 m'
_space_group_IT_number 225
_space_group_name_Hall '-F 4 2 3'
loop_
_atom_site_label
_atom_site_type_symbol
_atom_site_fract_x
_atom_site_fract_y
_atom_site_fract_z
_atom_site_occupancy
Sc1 Sc 0.000 0.000 0.000 1
Ni1 Ni 0.250 0.250 0.250 1
P1 P 0.000 0.000 0.500 1
# Calculated total energy   -101.860 eV/cell
# Formation enthalpy at 0 K   -208 kJ/mol of formula units
# Offset from the most stable computed form   340.4 meV per atom

# KPt3 | Alexandria | GGA-PBE | optimized geometry
data_KPt3
_chemical_formula_sum 'K2 Pt6'
_cell_length_a 4.535
_cell_length_b 7.830
_cell_length_c 5.983
_cell_angle_alpha 90.00
_cell_angle_beta 90.00
_cell_angle_gamma 90.00
_space_group_name_H-M_alt 'P m m n'
_space_group_IT_number 59
loop_
_space_group_symop_operation_xyz
'x,y,z'
'-x,-y,-z'
'-x+1/2,-y+1/2,z'
'x+1/2,y+1/2,-z'
'x+1/2,-y,-z'
'-x+1/2,y,z'
'-x,y+1/2,-z'
'x,-y+1/2,z'
loop_
_atom_site_label
_atom_site_type_symbol
_atom_site_fract_x
_atom_site_fract_y
_atom_site_fract_z
_atom_site_occupancy
K1 K 0.250 0.250 0.054 1
Pt1 Pt 0.250 0.081 0.549 1
Pt2 Pt 0.250 0.750 0.475 1
# Calculated total energy   -39.646 eV/cell
# Formation enthalpy at 0 K   -58 kJ/mol of formula units
# Offset from the most stable computed form   0.0 meV per atom

# Ni2Hg2Se | Alexandria | GGA-PBE | optimized geometry
data_Ni2Hg2Se
_chemical_formula_sum 'Ni4 Hg4 Se2'
_cell_length_a 7.879
_cell_length_b 7.879
_cell_length_c 2.883
_cell_angle_alpha 90.00
_cell_angle_beta 90.00
_cell_angle_gamma 90.00
_space_group_name_H-M_alt 'P 4/m b m'
_space_group_IT_number 127
_space_group_name_Hall '-P 4 2ab'
loop_
_atom_site_label
_atom_site_type_symbol
_atom_site_fract_x
_atom_site_fract_y
_atom_site_fract_z
_atom_site_occupancy
Ni1 Ni 0.118 0.382 0.000 1
Hg1 Hg 0.173 0.673 0.500 1
Se1 Se 0.000 0.000 0.500 1
# Calculated total energy   -27.560 eV/cell
# Offset from the most stable computed form   219.0 meV per atom

# LaSiPt4 | Alexandria | GGA-PBE | optimized geometry
data_LaSiPt4
_chemical_formula_sum 'La2 Si2 Pt8'
_cell_length_a 7.797
_cell_length_b 3.937
_cell_length_c 7.061
_cell_angle_alpha 90.00
_cell_angle_beta 90.00
_cell_angle_gamma 90.00
_space_group_name_H-M_alt 'P m m a'
_space_group_IT_number 51
_space_group_name_Hall '-P 2a 2a'
loop_
_atom_site_label
_atom_site_type_symbol
_atom_site_fract_x
_atom_site_fract_y
_atom_site_fract_z
_atom_site_occupancy
La1 La 0.250 0.000 0.129 1
Si1 Si 0.250 0.000 0.702 1
Pt1 Pt 0.000 0.000 0.500 1
Pt2 Pt 0.060 0.500 0.807 1
Pt3 Pt 0.250 0.500 0.459 1
# Calculated total energy   -79.257 eV/cell
# Offset from the most stable computed form   58.7 meV per atom

# CeTmP2O8 | Alexandria | GGA-PBE | optimized geometry
data_CeTmP2O8
_chemical_formula_sum 'Ce1 Tm1 P2 O8'
_cell_length_a 5.2657
_cell_length_b 5.2657
_cell_length_c 7.1119
_cell_angle_alpha 90.00
_cell_angle_beta 90.00
_cell_angle_gamma 120.00
_space_group_name_H-M_alt 'P -3 m 1'
_space_group_IT_number 164
_space_group_name_Hall '-P 3 2"'
loop_
_atom_site_label
_atom_site_type_symbol
_atom_site_fract_x
_atom_site_fract_y
_atom_site_fract_z
_atom_site_occupancy
Ce1 Ce 0.0000 0.0000 0.0000 1
Tm1 Tm 0.0000 0.0000 0.5000 1
P1 P 0.3333 0.6667 0.7896 1
O1 O 0.1732 0.3464 0.7151 1
O2 O 0.3333 0.6667 0.0047 1
# Calculated total energy   -95.723 eV/cell

# Ir5W4 | Alexandria | GGA-PBE | optimized geometry
data_Ir5W4
_chemical_formula_sum 'Ir10 W8'
_cell_length_a 8.412
_cell_length_b 8.412
_cell_length_c 3.865
_cell_angle_alpha 90.00
_cell_angle_beta 90.00
_cell_angle_gamma 90.00
_space_group_name_H-M_alt 'I 4/m m m'
_space_group_IT_number 139
_space_group_name_Hall '-I 4 2'
loop_
_atom_site_label
_atom_site_type_symbol
_atom_site_fract_x
_atom_site_fract_y
_atom_site_fract_z
_atom_site_occupancy
Ir1 Ir 0.000 0.000 0.000 1
Ir2 Ir 0.167 0.167 0.500 1
W1 W 0.000 0.327 0.000 1
# Calculated total energy   -195.026 eV/cell
# Formation enthalpy at 0 K   -135 kJ/mol of formula units
# Offset from the most stable computed form   0.0 meV per atom

# Lu2ZnGa | Alexandria | GGA-PBE | optimized geometry
data_Lu2ZnGa
_chemical_formula_sum 'Lu2 Zn1 Ga1'
_cell_length_a 3.503
_cell_length_b 3.503
_cell_length_c 6.951
_cell_angle_alpha 90.00
_cell_angle_beta 90.00
_cell_angle_gamma 90.00
_space_group_name_H-M_alt 'P 4/m m m'
_space_group_IT_number 123
_space_group_name_Hall '-P 4 2'
loop_
_atom_site_label
_atom_site_type_symbol
_atom_site_fract_x
_atom_site_fract_y
_atom_site_fract_z
_atom_site_occupancy
Lu1 Lu 0.000 0.000 0.249 1
Zn1 Zn 0.500 0.500 0.000 1
Ga1 Ga 0.500 0.500 0.500 1
# Calculated total energy   -15.204 eV/cell
# Formation enthalpy at 0 K   -180 kJ/mol of formula units
# Offset from the most stable computed form   0.0 meV per atom